1.
First-principles (PBE) data for a relaxed structure of RbMgV, as listed in Alexandria via LeMat-Bulk.

The formation energy comes out at 0.499 eV/atom. The relative energy among the computed polymorphs comes out at 0.00 kcal/mol of atoms. For the calculated density, the calculation gives 2.467 g/cm3.

It has space group P1 (No. 1), with a = 4.259 Å, b = 4.259 Å, c = 12.960 Å, α = 95.57°, β = 96.67° and γ = 110.45°. The asymmetric unit holds Rb at (0.000, 0.000, 0.000), Rb at (0.350, 0.305, 0.660), Mg at (0.620, 0.597, 0.217), Mg at (0.738, 0.705, 0.443), V at (0.045, 0.285, 0.330) and V at (0.312, 0.017, 0.330).


2.
First-principles (PBE) data for a relaxed structure of RbMgV, as listed in Alexandria via LeMat-Bulk.

The formation energy comes out at 0.784 eV/atom. The relative energy among the computed polymorphs comes out at 6.57 kcal/mol of atoms. For the calculated density, the calculation gives 2.536 g/cm3.

It has space group Imma (No. 74), with a = 5.887 Å, b = 13.650 Å, c = 5.238 Å, α = 90.00°, β = 90.00° and γ = 90.00°. The asymmetric unit holds Rb at (0.000, 0.000, 0.000), Mg at (0.250, 0.250, 0.250) and V at (0.000, 0.250, 0.741).


3.
First-principles (PBE) data for a relaxed structure of RbMgV, as listed in Alexandria via LeMat-Bulk.

The formation energy comes out at 0.662 eV/atom. The relative energy among the computed polymorphs comes out at 3.76 kcal/mol of atoms. For the calculated density, the calculation gives 2.647 g/cm3.

It has space group P1 (No. 1), with a = 4.495 Å, b = 6.279 Å, c = 7.529 Å, α = 90.17°, β = 107.36° and γ = 95.84°. The asymmetric unit holds Rb at (0.000, 0.000, 0.000), Rb at (0.438, 0.496, 0.847), Mg at (0.198, 0.523, 0.342), Mg at (0.713, 0.234, 0.444), V at (0.184, 0.935, 0.487) and V at (0.805, 0.790, 0.474).


4.
First-principles (PBE) data for a relaxed structure of RbMgV3, as listed in Alexandria via LeMat-Bulk.

The formation energy comes out at 2.405 eV/atom. The relative energy among the computed polymorphs comes out at 14.56 kcal/mol of atoms. For the calculated density, the calculation gives 4.635 g/cm3.

It has space group Pm-3m (No. 221), with a = 4.548 Å, b = 4.548 Å, c = 4.548 Å, α = 90.00°, β = 90.00° and γ = 90.00°. The asymmetric unit holds Rb at (0.000, 0.000, 0.000), Mg at (0.500, 0.500, 0.500) and V at (0.000, 0.000, 0.500).


5.
First-principles (PBE) data for a relaxed structure of RbMgV, as listed in Alexandria via LeMat-Bulk.

The formation energy comes out at 0.641 eV/atom. The relative energy among the computed polymorphs comes out at 3.27 kcal/mol of atoms. For the calculated density, the calculation gives 2.314 g/cm3.

It has space group Imm2 (No. 44), with a = 5.387 Å, b = 15.728 Å, c = 5.445 Å, α = 90.00°, β = 90.00° and γ = 90.00°. The asymmetric unit holds Rb at (0.000, 0.179, 0.000), Mg at (0.000, 0.000, 0.499), Mg at (0.000, 0.500, 0.506) and V at (0.000, 0.441, 0.006).


6.
First-principles (PBE) data for a relaxed structure of RbMgV, as listed in Alexandria via LeMat-Bulk.

The formation energy comes out at 0.547 eV/atom. The relative energy among the computed polymorphs comes out at 1.11 kcal/mol of atoms. For the calculated density, the calculation gives 2.102 g/cm3.

It has space group C2/m (No. 12), with a = 8.626 Å, b = 4.979 Å, c = 12.151 Å, α = 90.00°, β = 103.23° and γ = 90.00°. The asymmetric unit holds Rb at (0.234, 0.000, 0.192), Mg at (0.160, 0.500, 0.480) and V at (0.025, 0.000, 0.578).


7.
First-principles (PBE) data for a relaxed structure of RbMgV, as listed in Alexandria via LeMat-Bulk.

The formation energy comes out at 0.548 eV/atom. The relative energy among the computed polymorphs comes out at 1.11 kcal/mol of atoms. For the calculated density, the calculation gives 2.098 g/cm3.

It has space group P-1 (No. 2), with a = 4.977 Å, b = 4.978 Å, c = 11.853 Å, α = 89.49°, β = 89.61° and γ = 60.02°. The asymmetric unit holds Rb at (0.168, 0.171, 0.192), Mg at (0.167, 0.166, 0.519) and V at (0.499, 0.499, 0.578).


8.
First-principles (PBE) data for a relaxed structure of RbMgV, as listed in Alexandria via LeMat-Bulk.

The formation energy comes out at 0.624 eV/atom. The relative energy among the computed polymorphs comes out at 2.87 kcal/mol of atoms. For the calculated density, the calculation gives 2.242 g/cm3.

It has space group P1 (No. 1), with a = 4.208 Å, b = 4.820 Å, c = 12.438 Å, α = 98.96°, β = 91.13° and γ = 106.70°. The asymmetric unit holds Rb at (0.000, 0.000, 0.000), Rb at (0.439, 0.350, 0.649), Mg at (0.390, 0.883, 0.262), Mg at (0.835, 0.787, 0.441), V at (0.035, 0.307, 0.304) and V at (0.745, 0.464, 0.237).


9.
First-principles (PBE) data for a relaxed structure of RbMg2V, as listed in Alexandria via LeMat-Bulk.

The formation energy comes out at 0.920 eV/atom. The relative energy among the computed polymorphs comes out at 1.79 kcal/mol of atoms. For the calculated density, the calculation gives 1.822 g/cm3.

It has space group I4_1/amd (No. 141, origin choice 2), with a = 5.792 Å, b = 5.792 Å, c = 20.101 Å, α = 90.00°, β = 90.00° and γ = 90.00°. The asymmetric unit holds Rb at (0.000, 0.250, 0.375), Mg at (0.000, 0.000, 0.000) and V at (0.000, 0.250, 0.875).


10.
First-principles (PBE) data for a relaxed structure of RbMg6V, as listed in Alexandria via LeMat-Bulk.

The formation energy comes out at 0.307 eV/atom. The relative energy among the computed polymorphs comes out at 0.00 kcal/mol of atoms. For the calculated density, the calculation gives 2.227 g/cm3.

It has space group Amm2 (No. 38), with a = 3.381 Å, b = 11.156 Å, c = 11.162 Å, α = 90.00°, β = 90.00° and γ = 90.00°. The asymmetric unit holds Rb at (0.000, 0.000, 0.000), Mg at (0.000, 0.248, 0.255), Mg at (0.500, 0.000, 0.293), Mg at (0.500, 0.000, 0.705), Mg at (0.500, 0.206, 0.506) and V at (0.000, 0.000, 0.498).


11.
First-principles (PBE) data for a relaxed structure of RbMg2V2, as listed in Alexandria via LeMat-Bulk.

The formation energy comes out at 0.940 eV/atom. The relative energy among the computed polymorphs comes out at 6.72 kcal/mol of atoms. For the calculated density, the calculation gives 2.902 g/cm3.

It has space group I4/mmm (No. 139), with a = 5.458 Å, b = 5.458 Å, c = 9.064 Å, α = 90.00°, β = 90.00° and γ = 90.00°. The asymmetric unit holds Rb at (0.000, 0.000, 0.000), Mg at (0.000, 0.500, 0.250) and V at (0.000, 0.000, 0.399).


12.
First-principles (PBE) data for a relaxed structure of RbMg3V, as listed in Alexandria via LeMat-Bulk.

The formation energy comes out at 0.604 eV/atom. The relative energy among the computed polymorphs comes out at 0.00 kcal/mol of atoms. For the calculated density, the calculation gives 2.023 g/cm3.

It has space group Pm-3m (No. 221), with a = 5.559 Å, b = 5.559 Å, c = 5.559 Å, α = 90.00°, β = 90.00° and γ = 90.00°. The asymmetric unit holds Rb at (0.000, 0.000, 0.000), Mg at (0.000, 0.500, 0.500) and V at (0.500, 0.500, 0.500).


| no. | total DFT energy (no corrections) (eV/atom) |
| --- | --- |
| 1 | -3.394 |
| 2 | -3.109 |
| 3 | -3.231 |
| 4 | -3.579 |
| 5 | -3.252 |
| 6 | -3.346 |
| 7 | -3.346 |
| 8 | -3.270 |
| 9 | -2.399 |
| 10 | -2.150 |
| 11 | -3.539 |
| 12 | -2.370 |